Density functional theory data (PBEsol) for crystalline AlTlRh at its relaxed geometry.

a b c (Å): 3.1024 3.1024 6.4517
angles (deg): 90.00 90.00 120.00
Fractional coordinates of all 3 atoms:
Al: 0.0000 0.0000 0.0000
Tl: 0.3333 0.6667 0.3960
Rh: 0.6667 0.3333 0.7410

The formation energy is -111.0 meV per atom. For the relative energy among the computed polymorphs, the calculation gives 13.2 kJ/mol of atoms. The value obtained for the total magnetization is 0.0 μB/cell.



Density functional theory data (PBEsol) for crystalline AsPb2Br at its relaxed geometry.

a b c (Å): 8.0897 8.0897 8.0897
angles (deg): 152.03 151.43 40.41
Fractional coordinates of all 4 atoms:
As: 0.0000 0.0000 0.0000
Pb: 0.5743 0.5743 0.0000
Pb: 0.8593 0.3593 0.5000
Br: 0.2504 0.7504 0.5000

For the relative energy among the computed polymorphs, the calculation gives 13.0 kJ/mol of atoms. The value obtained for the raw formation energy is -5.15 kcal/mol of atoms. The value obtained for the total magnetization is 0.0 μB/cell.



Density functional theory data (PBEsol) for crystalline SrReAs2 at its relaxed geometry.

a b c (Å): 3.3447 3.3447 7.1213
angles (deg): 90.00 90.00 90.00
Fractional coordinates of all 4 atoms:
Sr: 0.0000 0.0000 0.0000
Re: 0.5000 0.5000 0.6596
As: 0.0000 0.0000 0.5324
As: 0.5000 0.5000 0.2970

The formation energy is 74.6 meV per atom. The value obtained for the total magnetization is 0.0 μB/cell.



Density functional theory data (PBEsol) for crystalline TlIr2Os at its relaxed geometry.

a b c (Å): 2.8058 2.8058 9.5552
angles (deg): 90.00 90.00 120.74
Fractional coordinates of all 4 atoms:
Tl: 0.0000 0.0000 0.0000
Ir: 0.0000 0.0000 0.5004
Ir: 0.5000 0.5000 0.2629
Os: 0.5000 0.5000 0.7308

The formation energy is 815.9 meV per atom. For the relative energy among the computed polymorphs, the calculation gives 18.3 kJ/mol of atoms. The value obtained for the total magnetization is 0.0 μB/cell.



| no. | DOS(E_F) (states/eV/atom) |
| --- | --- |
| 1 | 0.54 |
| 2 | 0.63 |
| 3 | 0.41 |
| 4 | 1.27 |